P) ! LaRhI2 | the Alexandria database | PBE-GGA | optimized geometry; values from VASP
&SYSTEM
  ibrav = 0, nat = 8, ntyp = 3
/
ATOMIC_SPECIES
I 126.90 I.upf
Rh 102.91 Rh.upf
La 138.91 La.upf
ATOMIC_POSITIONS crystal
I 0.574 0.125 0.250
I 0.176 0.625 0.250
I 0.375 0.426 0.750
I 0.875 0.824 0.750
Rh 0.500 0.500 0.000
Rh 0.250 0.750 0.500
La 0.000 0.000 0.000
La 0.750 0.250 0.500
CELL_PARAMETERS angstrom
-4.232 -1.065 3.182
-2.449 -2.519 -4.101
0.427 -9.445 1.990
! total magnetization	0.00	μB/cell

=====

Q) ! LaRhI2 | the Alexandria database | PBE-GGA | optimized geometry; values from VASP
&SYSTEM
  ibrav = 0, nat = 4, ntyp = 3
/
ATOMIC_SPECIES
I 126.90 I.upf
Rh 102.91 Rh.upf
La 138.91 La.upf
ATOMIC_POSITIONS crystal
I 0.250 0.250 0.250
I 0.750 0.750 0.750
Rh 0.000 0.000 0.000
La 0.500 0.500 0.500
CELL_PARAMETERS angstrom
-5.179 0.161 1.233
-3.282 3.210 -2.701
-3.598 -2.069 -3.338
! total magnetization	0.00	μB/cell

=====

Which is more stable than every other structure shown? Q) is more stable than every other one.